1.
Here is a PBEsol-optimized structure of CoAs2AuSe from Alexandria. Energies are from SCAN.

Summary:
The volume comes out at 94.2 Å³ per cell. The formation energy from raw total energies comes out at 256 kJ/mol of formula units. The calculation puts the magnetization at 0.0 μB per formula unit. The space group is P4/mmm. For the density of states at the Fermi level, the calculation gives 2.505 states/eV per cell.

abc: 4.359 4.359 4.957
angles: 90.00 90.00 90.00
Positions (direct):
Co (0.000, 0.000, 0.000)
As (0.000, 0.500, 0.000)
As (0.500, 0.000, 0.000)
Au (0.500, 0.500, 0.500)
Se (0.000, 0.000, 0.500)



2.
Here is a PBEsol-optimized structure of ScMo2Cl from Alexandria. Energies are from SCAN.

Summary:
The volume comes out at 129.9 Å³ per cell. The formation energy from raw total energies comes out at 217 kJ/mol of formula units. The calculation puts the magnetization at 0.0 μB per formula unit. The space group is I-4m2. For the density of states at the Fermi level, the calculation gives 6.276 states/eV per cell.

abc: 4.284 4.284 7.082
angles: 90.00 90.00 90.00
Positions (direct):
Sc (0.000, 0.000, 0.000)
Sc (0.500, 0.500, 0.500)
Mo (0.000, 0.000, 0.500)
Mo (0.000, 0.500, 0.750)
Mo (0.500, 0.000, 0.250)
Mo (0.500, 0.500, 0.000)
Cl (0.000, 0.500, 0.250)
Cl (0.500, 0.000, 0.750)



3.
Here is a PBEsol-optimized structure of InAgCl2 from Alexandria. Energies are from SCAN.

Summary:
The volume comes out at 87.5 Å³ per cell. The formation energy from raw total energies comes out at -204 kJ/mol of formula units. The calculation puts the magnetization at 0.0 μB per formula unit. The space group is P4/mmm. For the density of states at the Fermi level, the calculation gives 0.132 states/eV per cell.

abc: 5.012 5.012 3.482
angles: 90.00 90.00 90.00
Positions (direct):
In (0.000, 0.000, 0.000)
Ag (0.500, 0.500, 0.000)
Cl (0.000, 0.500, 0.500)
Cl (0.500, 0.000, 0.500)



4.
Here is a PBEsol-optimized structure of Cu2BiPd2 from Alexandria. Energies are from SCAN.

Summary:
The volume comes out at 165.3 Å³ per cell. For the energy relative to the elements, the calculation gives 4.3 kJ/mol of atoms. The calculation puts the magnetization at 0.0 μB per formula unit. The space group is I4/mmm. For the density of states at the Fermi level, the calculation gives 3.270 states/eV per cell.

abc: 3.548 3.548 13.133
angles: 90.00 90.00 90.00
Positions (direct):
Cu (0.000, 0.500, 0.250)
Cu (0.000, 0.500, 0.750)
Cu (0.500, 0.000, 0.250)
Cu (0.500, 0.000, 0.750)
Bi (0.000, 0.000, 0.000)
Bi (0.500, 0.500, 0.500)
Pd (0.000, 0.000, 0.391)
Pd (0.000, 0.000, 0.609)
Pd (0.500, 0.500, 0.109)
Pd (0.500, 0.500, 0.891)



5.
Here is a PBEsol-optimized structure of Ca2ZnCrAs from Alexandria. Energies are from SCAN.

Summary:
The volume comes out at 144.3 Å³ per cell. For the energy relative to the elements, the calculation gives -0.3 kJ/mol of atoms. The calculation puts the magnetization at 5.6 μB per formula unit. The space group is P4/mmm. For the density of states at the Fermi level, the calculation gives 2.880 states/eV per cell.

abc: 5.533 5.533 4.712
angles: 90.00 90.00 90.00
Positions (direct):
Ca (0.000, 0.500, 0.000)
Ca (0.500, 0.000, 0.000)
Zn (0.000, 0.000, 0.500)
Cr (0.500, 0.500, 0.500)
As (0.000, 0.000, 0.000)



6.
Here is a PBEsol-optimized structure of LaScTeN2 from Alexandria. Energies are from SCAN.

Summary:
The volume comes out at 101.2 Å³ per cell. The formation energy from raw total energies comes out at -196 kJ/mol of formula units. The calculation puts the magnetization at 0.0 μB per formula unit. The space group is P4/mmm. For the density of states at the Fermi level, the calculation gives 2.505 states/eV per cell.

abc: 4.300 4.300 5.470
angles: 90.00 90.00 90.00
Positions (direct):
La (0.000, 0.000, 0.000)
Sc (0.500, 0.500, 0.500)
Te (0.500, 0.500, 0.000)
N (0.000, 0.500, 0.500)
N (0.500, 0.000, 0.500)



> magnetization of number 2 (ScMo2Cl)?

0.0 μB per formula unit



> What is the magnetization in the sixth record?

0.0 μB per formula unit



> Look up the magnetization of the third one.

0.0 μB per formula unit